Entry 1:
VASP calculation (PBE) on a relaxed CaLaCd2 crystal.

Properties
- formation energy (eV per formula unit) = -0.632
- theoretical density (g/cm3) = 5.5
- total moment (μB/f.u.) = 0.000
- raw total energy (eV/atom) = -2.35
- E above lowest polymorph (eV per atom) = 0.222
- SG = Pmm2
- calculated volume (A^3/atom) = 30.4

Cell: 3.600 4.948 6.837 Å, 90.00 90.00 90.00°
Element x y z (fractional)
Ca 0.500 0.500 0.797
Cd 0.000 0.000 0.977
Cd 0.500 0.500 0.266
La 0.000 0.000 0.460

Entry 2:
VASP calculation (PBE) on a relaxed AlTlF6 crystal.

Properties
- theoretical density (g/cm3) = 5.1
- total moment (μB/f.u.) = 0.000
- raw total energy (eV/atom) = -4.83
- SG = P2_1/c
- calculated volume (A^3/atom) = 13.9

Cell: 5.274 5.523 7.657 Å, 90.00 89.83 90.00°
Element x y z (fractional)
Al 0.000 0.500 0.000
Al 0.500 0.000 0.500
Tl 0.000 0.500 0.500
Tl 0.500 0.000 0.000
F 0.116 0.526 0.775
F 0.161 0.782 0.057
F 0.215 0.830 0.442
F 0.285 0.330 0.058
F 0.339 0.282 0.443
F 0.384 0.026 0.725
F 0.616 0.974 0.275
F 0.661 0.718 0.557
F 0.715 0.670 0.942
F 0.839 0.218 0.943
F 0.785 0.170 0.558
F 0.884 0.474 0.225

Entry 3:
VASP calculation (PBE) on a relaxed TlAgOsO4 crystal.

Properties
- theoretical density (g/cm3) = 6.3
- total moment (μB/f.u.) = 0.000
- raw total energy (eV/atom) = -5.82
- SG = I-4
- calculated volume (A^3/atom) = 21.4

Cell: 6.335 6.335 5.832 Å, 122.90 122.90 90.00°
Element x y z (fractional)
Tl 0.000 0.000 0.000
Ag 0.500 0.500 0.000
Os 0.250 0.750 0.500
O 0.184 0.056 0.649
O 0.407 0.816 0.351
O 0.465 0.593 0.649
O 0.944 0.535 0.351

Entry 4:
VASP calculation (PBE) on a relaxed CaCr2Se crystal.

Properties
- theoretical density (g/cm3) = 4.2
- total moment (μB/f.u.) = 9.658
- raw total energy (eV/atom) = -5.95
- SG = P4/mmm
- calculated volume (A^3/atom) = 22.1

Cell: 4.214 4.209 4.984 Å, 90.00 90.00 90.00°
Element x y z (fractional)
Cr 0.000 0.000 0.000
Cr 0.500 0.500 0.000
Ca 0.000 0.500 0.500
Se 0.500 0.000 0.500

Entry 5:
VASP calculation (PBE) on a relaxed Sr3InO crystal.

Properties
- theoretical density (g/cm3) = 2.3
- total moment (μB/f.u.) = 0.003
- raw total energy (eV/atom) = -3.38
- SG = R3m
- calculated volume (A^3/atom) = 57.5

Cell: 6.609 6.609 6.609 Å, 86.71 86.71 86.71°
Element x y z (fractional)
Sr 0.083 0.657 0.083
Sr 0.657 0.083 0.083
Sr 0.083 0.083 0.657
O 0.899 0.899 0.899
In 0.153 0.153 0.153

Entry 6:
VASP calculation (PBE) on a relaxed Li2AcOs2O7 crystal.

Properties
- theoretical density (g/cm3) = 8.4
- total moment (μB/f.u.) = 3.392
- raw total energy (eV/atom) = -7.11
- SG = I4/mmm
- calculated volume (A^3/atom) = 12.0

Cell: 3.961 3.961 9.604 Å, 101.92 101.90 90.00°
Element x y z (fractional)
Li 0.250 0.750 0.500
Li 0.750 0.250 0.500
Ac 0.000 0.000 0.000
Os 0.386 0.386 0.772
Os 0.614 0.614 0.228
O 0.398 0.898 0.796
O 0.718 0.718 0.436
O 0.102 0.602 0.204
O 0.602 0.102 0.204
O 0.282 0.282 0.564
O 0.898 0.398 0.796
O 0.500 0.500 0.000

Entry 7:
VASP calculation (PBE) on a relaxed CaGaP crystal.

Properties
- formation energy (eV per formula unit) = -2.073
- theoretical density (g/cm3) = 3.4
- total moment (μB/f.u.) = 0.000
- raw total energy (eV/atom) = -4.17
- E above lowest polymorph (eV per atom) = 0.104
- SG = P3m1
- calculated volume (A^3/atom) = 22.6

Cell: 5.119 3.910 3.910 Å, 120.00 90.00 90.00°
Element x y z (fractional)
P 0.044 0.000 0.000
Ca 0.696 0.333 0.667
Ga 0.259 0.667 0.333

Entry 8:
VASP calculation (PBE) on a relaxed GdErTm crystal.

Properties
- formation energy (eV per formula unit) = 0.199
- theoretical density (g/cm3) = 8.8
- total moment (μB/f.u.) = 8.081
- raw total energy (eV/atom) = -7.64
- E above lowest polymorph (eV per atom) = 0.040
- SG = P3m1
- calculated volume (A^3/atom) = 30.9

Cell: 3.448 5.576 5.576 Å, 120.00 90.00 90.00°
Element x y z (fractional)
Gd 0.165 0.000 0.000
Tm 0.168 0.667 0.333
Er 0.667 0.333 0.667

- Look up the theoretical density of the seventh one.
  3.4 g/cm3

- The lowest raw total energy belongs to which entry?
  GdErTm